1.
Crystalline La2Ga4Cu3Rh at its relaxed geometry, computed with PBE-GGA.

Results
- formation energy from the elements (eV/atom) = -0.52
- total magnetization (μB/cell) = 0.0
- crystal system = tetragonal

Geometry as CIF:
```
data_La2Ga4Cu3Rh
_chemical_formula_sum 'La2 Ga4 Cu3 Rh1'
_cell_length_a 4.272
_cell_length_b 4.272
_cell_length_c 10.308
_cell_angle_alpha 90.00
_cell_angle_beta 90.00
_cell_angle_gamma 90.00
_space_group_name_H-M_alt 'P -4 m 2'
_space_group_IT_number 115
loop_
_space_group_symop_operation_xyz
'x,y,z'
'y,-x,-z'
'-x,-y,z'
'-y,x,-z'
'-x,y,z'
'-y,-x,-z'
'x,-y,z'
'y,x,-z'
loop_
_atom_site_label
_atom_site_type_symbol
_atom_site_fract_x
_atom_site_fract_y
_atom_site_fract_z
_atom_site_occupancy
La1 La 0.000 0.500 0.250 1
Ga1 Ga 0.000 0.000 0.000 1
Ga2 Ga 0.000 0.500 0.628 1
Ga3 Ga 0.500 0.500 0.000 1
Cu1 Cu 0.000 0.500 0.869 1
Cu2 Cu 0.500 0.500 0.500 1
Rh1 Rh 0.000 0.000 0.500 1
```

2.
Crystalline La2Ga3Cu4Rh at its relaxed geometry, computed with PBE-GGA.

Results
- formation energy from the elements (eV/atom) = -0.40
- total magnetization (μB/cell) = 0.0
- crystal system = tetragonal

Geometry as CIF:
```
data_La2Ga3Cu4Rh
_chemical_formula_sum 'La2 Ga3 Cu4 Rh1'
_cell_length_a 4.191
_cell_length_b 4.191
_cell_length_c 10.496
_cell_angle_alpha 90.00
_cell_angle_beta 90.00
_cell_angle_gamma 90.00
_space_group_name_H-M_alt 'P -4 m 2'
_space_group_IT_number 115
loop_
_space_group_symop_operation_xyz
'x,y,z'
'y,-x,-z'
'-x,-y,z'
'-y,x,-z'
'-x,y,z'
'-y,-x,-z'
'x,-y,z'
'y,x,-z'
loop_
_atom_site_label
_atom_site_type_symbol
_atom_site_fract_x
_atom_site_fract_y
_atom_site_fract_z
_atom_site_occupancy
La1 La 0.000 0.500 0.244 1
Ga1 Ga 0.000 0.000 0.000 1
Ga2 Ga 0.000 0.500 0.625 1
Cu1 Cu 0.000 0.000 0.500 1
Cu2 Cu 0.000 0.500 0.861 1
Cu3 Cu 0.500 0.500 0.500 1
Rh1 Rh 0.500 0.500 0.000 1
```

3.
Crystalline LaGa4Cu2Ru at its relaxed geometry, computed with PBE-GGA.

Results
- formation energy from the elements (eV/atom) = -0.32
- total magnetization (μB/cell) = 0.0
- crystal system = trigonal

Geometry as CIF:
```
data_LaGa4Cu2Ru
_chemical_formula_sum 'La3 Ga12 Cu6 Ru3'
_cell_length_a 4.2111
_cell_length_b 4.2111
_cell_length_c 27.5618
_cell_angle_alpha 90.00
_cell_angle_beta 90.00
_cell_angle_gamma 120.00
_space_group_name_H-M_alt 'R -3 m'
_space_group_IT_number 166
_space_group_name_Hall '-R 3 2"'
loop_
_atom_site_label
_atom_site_type_symbol
_atom_site_fract_x
_atom_site_fract_y
_atom_site_fract_z
_atom_site_occupancy
La1 La 0.0000 0.0000 0.0000 1
Ga1 Ga 0.0000 0.0000 0.1326 1
Ga2 Ga 0.0000 0.0000 0.4047 1
Cu1 Cu 0.0000 0.0000 0.2317 1
Ru1 Ru 0.0000 0.0000 0.5000 1
```

The lowest formation energy from the elements belongs to which entry?
La2Ga4Cu3Rh

What is the formation energy from the elements in the third record?
-0.32 eV/atom

formation energy from the elements of number 3 (LaGa4Cu2Ru)?
-0.32 eV/atom